1.
{"formula": "Ag2SnB", "functional": "PBE", "state": "optimized geometry", "sg": "Fm-3m", "total_energy_ev_per_atom": -3.168, "volume_a3_per_cell": 72, "de_polymorph_mev_per_atom": 143, "e_form_ev_per_fu": 3.7, "lattice": [[0.0000, 3.3023, 3.3023], [3.3023, 0.0000, 3.3023], [3.3023, 3.3023, 0.0000]], "species": ["B", "Sn", "Ag", "Ag"], "frac_coords": [[0.0000, 0.0000, 0.0000], [0.5000, 0.5000, 0.5000], [0.2500, 0.2500, 0.2500], [0.7500, 0.7500, 0.7500]]}

2.
{"formula": "NdSm2Y", "functional": "PBE", "state": "optimized geometry", "sg": "P4/mmm", "total_energy_ev_per_atom": -5.150, "volume_a3_per_cell": 135, "de_polymorph_mev_per_atom": 8, "e_form_ev_per_fu": 0.1, "lattice": [[3.6284, 0.0000, 0.0000], [0.0000, 3.6284, 0.0000], [0.0000, 0.0000, 10.2656]], "species": ["Y", "Nd", "Sm", "Sm"], "frac_coords": [[0.5000, 0.5000, 0.5000], [0.5000, 0.5000, 0.0000], [0.0000, 0.0000, 0.7471], [0.0000, 0.0000, 0.2529]]}